The following is a DFT calculation (PBE) of crystalline K2BO at its relaxed geometry.

Lattice parameters (Å, degrees): 4.925 4.925 4.925 60.00 60.00 60.00
Positions (direct):
K  0.250  0.250  0.250
K  0.750  0.750  0.750
O  0.500  0.500  0.500
B  0.000  0.000  0.000

- Crystal system: cubic
- Uncorrected formation energy: 0.655 eV/atom
- ΔE to the lowest computed polymorph: 233.6 kJ/mol of formula units
- Density of states at the Fermi level: 3.8 states/eV/f.u.